Entry 1:
Compound: LiCdRu2
Source: Alexandria via LeMat-Bulk
Functional: SCAN
Structure: single point on PBEsol structure

Energy: -25.53 eV/atom
Symmetry: Pmm2 (25)
N(E_F): 1.6 states/eV per cell
Calculated formation energy: 0.085 eV per atom

Lattice parameters (Å, degrees): 2.772 3.643 5.775 90.00 90.00 90.00
Positions (direct):
1 Li 0.000 0.000 0.000
2 Cd 0.500 0.500 0.762
3 Ru 0.000 0.000 0.452
4 Ru 0.500 0.500 0.265

Entry 2:
Compound: Zn2BIr2
Source: Alexandria via LeMat-Bulk
Functional: SCAN
Structure: single point on PBEsol structure

Energy: -35.64 eV/atom
Symmetry: P4/mbm (127)
N(E_F): 4.5 states/eV per cell
Calculated formation energy: -0.305 eV per atom

Lattice parameters (Å, degrees): 5.657 5.657 4.132 90.00 90.00 90.00
Positions (direct):
1 Zn 0.155 0.345 0.000
2 Zn 0.345 0.845 0.000
3 Zn 0.655 0.155 0.000
4 Zn 0.845 0.655 0.000
5 B 0.000 0.000 0.500
6 B 0.500 0.500 0.500
7 Ir 0.164 0.664 0.500
8 Ir 0.336 0.164 0.500
9 Ir 0.664 0.836 0.500
10 Ir 0.836 0.336 0.500

Entry 3:
Compound: YIO2
Source: Alexandria via LeMat-Bulk
Functional: SCAN
Structure: single point on PBEsol structure

Energy: -20.35 eV/atom
Symmetry: Fm-3m (225)
N(E_F): 2.5 states/eV per cell
Formation energy (no corrections): -105 kJ per mole of atoms

Lattice parameters (Å, degrees): 4.390 4.390 4.390 60.00 60.00 60.00
Positions (direct):
1 Y 0.000 0.000 0.000
2 I 0.500 0.500 0.500
3 O 0.250 0.250 0.250
4 O 0.750 0.750 0.750

Entry 4:
Compound: KTlIr2
Source: Alexandria via LeMat-Bulk
Functional: SCAN
Structure: single point on PBEsol structure

Energy: -55.43 eV/atom
Symmetry: Cm (8)
N(E_F): 2.0 states/eV per cell
Calculated formation energy: 0.288 eV per atom

Lattice parameters (Å, degrees): 4.532 4.532 7.613 96.13 96.13 36.72
Positions (direct):
1 K 0.000 0.000 0.000
2 Tl 0.766 0.766 0.347
3 Ir 0.243 0.243 0.684
4 Ir 0.504 0.504 0.595